Material: KInGe
Method: DFT, PBE-GGA
State: optimized geometry

Cell: 7.270 7.270 7.270 Å, 45.98 45.98 45.98°
Element x y z (fractional)
K 0.108 0.108 0.108
K 0.892 0.892 0.892
In 0.419 0.419 0.419
In 0.581 0.581 0.581
Ge 0.279 0.279 0.279
Ge 0.721 0.721 0.721

Calculated values
V = 30.20 Å³ per atom
space group = R-3m
formation enthalpy at 0 K = 0.182 eV per atom
D(E_F) = 0.41 states/eV per atom